No. 1
Pm6SmO12 after structural relaxation. Source: Alexandria, functional PBE.

Structure (CIF):
```
data_Pm6SmO12
_space_group_name_H-M_alt 'R -3'
_space_group_IT_number 148
_space_group_name_Hall '-R 3'
_cell_length_a 10.4277
_cell_length_b 10.4277
_cell_length_c 9.6741
_cell_angle_alpha 90.00
_cell_angle_beta 90.00
_cell_angle_gamma 120.00
loop_
_atom_site_label
_atom_site_fract_x
_atom_site_fract_y
_atom_site_fract_z
Pm1 0.0494 0.2597 0.1515
Sm1 0.0000 0.0000 0.5000
O1 0.0393 0.2204 0.8991
O2 0.0451 0.2178 0.3934
```

E_form (uncorrected)	-3054	meV per atom
V	16.0	A^3/atom
total magnetic moment	3.1	μB/f.u.

***

No. 2
PmSmO2 after structural relaxation. Source: Alexandria, functional PBE.

Structure (CIF):
```
data_PmSmO2
_space_group_name_H-M_alt 'R 3 m'
_space_group_IT_number 160
_space_group_name_Hall 'R 3 -2"'
_cell_length_a 3.4875
_cell_length_b 3.4875
_cell_length_c 18.0282
_cell_angle_alpha 90.00
_cell_angle_beta 90.00
_cell_angle_gamma 120.00
loop_
_atom_site_label
_atom_site_fract_x
_atom_site_fract_y
_atom_site_fract_z
Pm1 0.0000 0.0000 0.0000
Sm1 0.0000 0.0000 0.1776
O1 0.0000 0.0000 0.5844
O2 0.0000 0.0000 0.7580
```

E_form (uncorrected)	-2660	meV per atom
V	15.8	A^3/atom
energy relative to the lowest polymorph listed for this composition	2.795	kcal/mol of atoms
total magnetic moment	0.0	μB/f.u.

***

No. 3
Pm2SmO4 after structural relaxation. Source: Alexandria, functional PBE.

Structure (CIF):
```
data_Pm2SmO4
_space_group_name_H-M_alt 'C 1 2/m 1'
_space_group_IT_number 12
_space_group_name_Hall '-C 2y'
_cell_length_a 12.235
_cell_length_b 3.553
_cell_length_c 6.081
_cell_angle_alpha 90.00
_cell_angle_beta 117.35
_cell_angle_gamma 90.00
loop_
_atom_site_label
_atom_site_fract_x
_atom_site_fract_y
_atom_site_fract_z
Pm1 0.200 0.000 0.201
Sm1 0.000 0.500 0.500
O1 0.133 0.500 0.926
O2 0.145 0.000 0.522
```

E_form (uncorrected)	-3089	meV per atom
V	16.8	A^3/atom
total magnetic moment	0.0	μB/f.u.

***

> total magnetic moment of number 1 (Pm6SmO12)?

3.1 μB/f.u.

***

Please write out number 2 again, unchanged.
PmSmO2 after structural relaxation. Source: Alexandria, functional PBE.

Structure (CIF):
```
data_PmSmO2
_space_group_name_H-M_alt 'R 3 m'
_space_group_IT_number 160
_space_group_name_Hall 'R 3 -2"'
_cell_length_a 3.4875
_cell_length_b 3.4875
_cell_length_c 18.0282
_cell_angle_alpha 90.00
_cell_angle_beta 90.00
_cell_angle_gamma 120.00
loop_
_atom_site_label
_atom_site_fract_x
_atom_site_fract_y
_atom_site_fract_z
Pm1 0.0000 0.0000 0.0000
Sm1 0.0000 0.0000 0.1776
O1 0.0000 0.0000 0.5844
O2 0.0000 0.0000 0.7580
```

E_form (uncorrected)	-2660	meV per atom
V	15.8	A^3/atom
energy relative to the lowest polymorph listed for this composition	2.795	kcal/mol of atoms
total magnetic moment	0.0	μB/f.u.